(1)
DFT (PBE-GGA) results for an optimized crystal structure of CaPm4Rh4.

Calculated values
Formation energy from the elements   -0.53 eV per atom
Crystal system   tetragonal
Space group   P4_2/n

Unit cell a=8.991 b=8.991 c=5.724 alpha=90.00 beta=90.00 gamma=90.00
Sites, in units of the cell vectors:
Ca 0.250 0.250 0.250
Ca 0.750 0.750 0.750
Pm 0.067 0.663 0.154
Pm 0.163 0.933 0.654
Pm 0.337 0.567 0.654
Pm 0.433 0.837 0.154
Pm 0.567 0.163 0.846
Pm 0.663 0.433 0.346
Pm 0.837 0.067 0.346
Pm 0.933 0.337 0.846
Rh 0.032 0.623 0.650
Rh 0.123 0.968 0.150
Rh 0.377 0.532 0.150
Rh 0.468 0.877 0.650
Rh 0.532 0.123 0.350
Rh 0.623 0.468 0.850
Rh 0.877 0.032 0.850
Rh 0.968 0.377 0.350

(2)
DFT (PBE-GGA) results for an optimized crystal structure of Tb8CN3.

Calculated values
Energy   -0.2497 hartree per atom
Crystal system   monoclinic
Space group   C2/m

Unit cell a=7.080 b=7.080 c=7.291 alpha=119.02 beta=119.02 gamma=59.92
Sites, in units of the cell vectors:
Tb 0.239 0.742 0.724
Tb 0.240 0.240 0.721
Tb 0.258 0.258 0.276
Tb 0.258 0.761 0.276
Tb 0.742 0.239 0.724
Tb 0.742 0.742 0.724
Tb 0.760 0.760 0.279
Tb 0.761 0.258 0.276
C 0.500 0.500 0.500
N 0.000 0.000 0.500
N 0.000 0.500 0.500
N 0.500 0.000 0.500

(3)
DFT (PBE-GGA) results for an optimized crystal structure of RbZnGaSb2.

Calculated values
Energy   -0.1082 hartree per atom
Crystal system   monoclinic
Space group   C2/m

Unit cell a=7.342 b=7.342 c=10.840 alpha=98.07 beta=98.07 gamma=35.28
Sites, in units of the cell vectors:
Rb 0.159 0.159 0.172
Rb 0.841 0.841 0.828
Zn 0.172 0.172 0.587
Zn 0.828 0.828 0.413
Ga 0.451 0.451 0.314
Ga 0.549 0.549 0.686
Sb 0.116 0.116 0.818
Sb 0.368 0.368 0.554
Sb 0.632 0.632 0.446
Sb 0.884 0.884 0.182

(4)
DFT (PBE-GGA) results for an optimized crystal structure of Ho2Er6In.

Calculated values
Formation energy from the elements   -0.03 eV per atom
Relative energy among the computed polymorphs   0 meV per atom
Crystal system   monoclinic
Space group   C2/c

Unit cell a=9.709 b=9.709 c=6.059 alpha=95.80 beta=95.80 gamma=72.09
Sites, in units of the cell vectors:
Ho 0.067 0.287 0.071
Ho 0.287 0.067 0.571
Ho 0.713 0.933 0.429
Ho 0.933 0.713 0.929
Er 0.083 0.810 0.480
Er 0.152 0.432 0.634
Er 0.190 0.917 0.020
Er 0.277 0.518 0.163
Er 0.432 0.152 0.134
Er 0.482 0.723 0.337
Er 0.518 0.277 0.663
Er 0.568 0.848 0.866
Er 0.723 0.482 0.837
Er 0.810 0.083 0.980
Er 0.848 0.568 0.366
Er 0.917 0.190 0.520
In 0.371 0.629 0.750
In 0.629 0.371 0.250

(5)
DFT (PBE-GGA) results for an optimized crystal structure of KInSi2.

Calculated values
Energy   -0.1304 hartree per atom
Crystal system   monoclinic
Space group   Cm

Unit cell a=3.910 b=3.910 c=8.608 alpha=103.28 beta=103.28 gamma=60.45
Sites, in units of the cell vectors:
K 0.000 0.000 0.000
In 0.791 0.791 0.372
Si 0.234 0.234 0.701
Si 0.534 0.534 0.598

(6)
DFT (PBE-GGA) results for an optimized crystal structure of CoNiC.

Calculated values
Formation energy from the elements   0.33 eV per atom
Relative energy among the computed polymorphs   96 meV per atom
Crystal system   orthorhombic
Space group   Amm2

Unit cell a=3.129 b=3.625 c=3.625 alpha=41.24 beta=90.00 gamma=90.00
Sites, in units of the cell vectors:
Co 0.000 0.000 0.000
Ni 0.500 0.275 0.275
C 0.000 0.711 0.711

(7)
DFT (PBE-GGA) results for an optimized crystal structure of Tb6Y3Tm2Mg.

Calculated values
Formation energy from the elements   0.03 eV per atom
Crystal system   monoclinic
Space group   C2/m

Unit cell a=6.136 b=6.136 c=11.626 alpha=95.09 beta=95.09 gamma=120.03
Sites, in units of the cell vectors:
Tb 0.085 0.419 0.754
Tb 0.247 0.247 0.247
Tb 0.419 0.085 0.754
Tb 0.581 0.915 0.246
Tb 0.753 0.753 0.753
Tb 0.915 0.581 0.246
Y 0.000 0.000 0.500
Y 0.334 0.666 0.500
Y 0.666 0.334 0.500
Tm 0.166 0.834 0.000
Tm 0.834 0.166 0.000
Mg 0.500 0.500 0.000

(8)
DFT (PBE-GGA) results for an optimized crystal structure of Na3VGa.

Calculated values
Formation energy from the elements   1.04 eV per atom
Crystal system   cubic
Space group   Pm-3m

Unit cell a=5.665 b=5.665 c=5.665 alpha=90.00 beta=90.00 gamma=90.00
Sites, in units of the cell vectors:
Na 0.000 0.000 0.500
Na 0.000 0.500 0.000
Na 0.500 0.000 0.000
V 0.000 0.000 0.000
Ga 0.500 0.500 0.500

(9)
DFT (PBE-GGA) results for an optimized crystal structure of Ca3SbIr.

Calculated values
Relative energy among the computed polymorphs   0 meV per atom
Crystal system   cubic
Space group   Pm-3m

Unit cell a=5.379 b=5.379 c=5.379 alpha=90.00 beta=90.00 gamma=90.00
Sites, in units of the cell vectors:
Ca 0.000 0.000 0.500
Ca 0.000 0.500 0.000
Ca 0.500 0.000 0.000
Sb 0.500 0.500 0.500
Ir 0.000 0.000 0.000

(10)
DFT (PBE-GGA) results for an optimized crystal structure of MnBeSi2.

Calculated values
Energy   -0.2033 hartree per atom
Crystal system   tetragonal
Space group   I-42d

Unit cell a=5.309 b=5.309 c=5.309 alpha=101.90 beta=101.90 gamma=126.00
Sites, in units of the cell vectors:
Mn 0.000 0.000 0.000
Mn 0.750 0.250 0.500
Be 0.250 0.750 0.500
Be 0.500 0.500 0.000
Si 0.166 0.625 0.041
Si 0.375 0.416 0.541
Si 0.584 0.125 0.959
Si 0.875 0.834 0.459

(11)
DFT (PBE-GGA) results for an optimized crystal structure of Fe2W.

Calculated values
Formation energy from the elements   0.17 eV per atom
Crystal system   monoclinic
Space group   C2/m

Unit cell a=4.815 b=4.815 c=6.542 alpha=109.78 beta=109.78 gamma=31.30
Sites, in units of the cell vectors:
Fe 0.047 0.047 0.256
Fe 0.357 0.357 0.979
Fe 0.643 0.643 0.021
Fe 0.953 0.953 0.744
W 0.338 0.338 0.367
W 0.662 0.662 0.633

(12)
DFT (PBE-GGA) results for an optimized crystal structure of Ta3Cr2.

Calculated values
Formation energy from the elements   0.34 eV per atom
Relative energy among the computed polymorphs   115 meV per atom
Crystal system   trigonal
Space group   R-3m

Unit cell a=10.316 b=10.316 c=10.316 alpha=16.87 beta=16.87 gamma=16.87
Sites, in units of the cell vectors:
Ta 0.000 0.000 0.000
Ta 0.205 0.205 0.205
Ta 0.795 0.795 0.795
Cr 0.398 0.398 0.398
Cr 0.602 0.602 0.602

(13)
DFT (PBE-GGA) results for an optimized crystal structure of SmPu2IO4.

Calculated values
Energy   -0.3555 hartree per atom
Crystal system   tetragonal
Space group   P4/mmm

Unit cell a=4.013 b=4.013 c=9.419 alpha=90.00 beta=90.00 gamma=90.00
Sites, in units of the cell vectors:
Sm 0.000 0.000 0.000
Pu 0.500 0.500 0.256
Pu 0.500 0.500 0.744
I 0.000 0.000 0.500
O 0.000 0.500 0.152
O 0.000 0.500 0.848
O 0.500 0.000 0.152
O 0.500 0.000 0.848

(14)
DFT (PBE-GGA) results for an optimized crystal structure of Mn2VAsH.

Calculated values
Energy   -0.2664 hartree per atom
Crystal system   tetragonal
Space group   P4/mmm

Unit cell a=3.706 b=3.706 c=3.931 alpha=90.00 beta=90.00 gamma=90.00
Sites, in units of the cell vectors:
Mn 0.000 0.500 0.000
Mn 0.500 0.000 0.000
V 0.000 0.000 0.500
As 0.500 0.500 0.500
H 0.000 0.000 0.000

(15)
DFT (PBE-GGA) results for an optimized crystal structure of ScTe2HN.

Calculated values
Relative energy among the computed polymorphs   171 meV per atom
Crystal system   tetragonal
Space group   P4/mmm

Unit cell a=5.729 b=5.729 c=4.013 alpha=90.00 beta=90.00 gamma=90.00
Sites, in units of the cell vectors:
Sc 0.000 0.000 0.000
Te 0.000 0.500 0.000
Te 0.500 0.000 0.000
H 0.500 0.500 0.500
N 0.000 0.000 0.500

(16)
DFT (PBE-GGA) results for an optimized crystal structure of Tb2SmTm3Se6.

Calculated values
Energy   -0.2114 hartree per atom
Crystal system   monoclinic
Space group   C2/m

Unit cell a=9.125 b=9.125 c=8.205 alpha=104.02 beta=104.02 gamma=25.59
Sites, in units of the cell vectors:
Tb 0.166 0.166 0.331
Tb 0.834 0.834 0.669
Sm 0.500 0.500 0.000
Tm 0.165 0.165 0.833
Tm 0.500 0.500 0.500
Tm 0.835 0.835 0.167
Se 0.001 0.001 0.740
Se 0.329 0.329 0.920
Se 0.335 0.335 0.412
Se 0.665 0.665 0.588
Se 0.671 0.671 0.080
Se 0.999 0.999 0.260

(17)
DFT (PBE-GGA) results for an optimized crystal structure of BaCr2Ag.

Calculated values
Formation energy from the elements   0.92 eV per atom
Relative energy among the computed polymorphs   409 meV per atom
Crystal system   tetragonal
Space group   I4_1/amd

Unit cell a=10.189 b=10.189 c=10.189 alpha=149.64 beta=149.64 gamma=43.47
Sites, in units of the cell vectors:
Ba 0.375 0.625 0.750
Ba 0.625 0.375 0.250
Cr 0.000 0.000 0.000
Cr 0.000 0.000 0.500
Cr 0.000 0.500 0.000
Cr 0.500 0.000 0.500
Ag 0.125 0.875 0.250
Ag 0.875 0.125 0.750

(18)
DFT (PBE-GGA) results for an optimized crystal structure of GaHgMo2.

Calculated values
Formation energy from the elements   0.62 eV per atom
Relative energy among the computed polymorphs   78 meV per atom
Crystal system   tetragonal
Space group   I-42d

Unit cell a=10.301 b=10.301 c=10.301 alpha=158.44 beta=158.44 gamma=30.68
Sites, in units of the cell vectors:
Ga 0.000 0.000 0.000
Ga 0.750 0.250 0.500
Hg 0.250 0.750 0.500
Hg 0.500 0.500 0.000
Mo 0.088 0.625 0.963
Mo 0.375 0.338 0.463
Mo 0.662 0.125 0.037
Mo 0.875 0.912 0.537

(19)
DFT (PBE-GGA) results for an optimized crystal structure of LiZr2RhPb.

Calculated values
Formation energy from the elements   0.30 eV per atom
Crystal system   tetragonal
Space group   P4/mmm

Unit cell a=4.755 b=4.755 c=4.309 alpha=90.00 beta=90.00 gamma=90.00
Sites, in units of the cell vectors:
Li 0.000 0.000 0.000
Zr 0.000 0.500 0.000
Zr 0.500 0.000 0.000
Rh 0.000 0.000 0.500
Pb 0.500 0.500 0.500

(20)
DFT (PBE-GGA) results for an optimized crystal structure of Li2TaGaBr.

Calculated values
Energy   -0.1310 hartree per atom
Crystal system   tetragonal
Space group   P4/mmm

Unit cell a=4.815 b=4.815 c=4.994 alpha=90.00 beta=90.00 gamma=90.00
Sites, in units of the cell vectors:
Li 0.000 0.500 0.000
Li 0.500 0.000 0.000
Ta 0.000 0.000 0.500
Ga 0.000 0.000 0.000
Br 0.500 0.500 0.500

Calculated values (states/eV per atom) of N(E_F) for the records, taken in order: 0.33 0.78 0.12 1.17 0.36 0.91 1.33 1.84 0.02 0.51 1.20 1.32 1.72 0.61 1.05 0.44 0.87 0.86 1.15 0.87.